[1]
First-principles (meta-GGA SCAN) data for Tl2AsPbI at its PBEsol-relaxed geometry, as listed in the Alexandria database.

a = 5.8317 Å, b = 5.5386 Å, c = 5.5386 Å
α = 90.00°, β = 90.00°, γ = 90.00°
Fractional positions:
I 0.5000 0.5000 0.5000
Pb 0.5000 0.0000 0.0000
Tl 0.0000 0.0000 0.5000
As 0.0000 0.0000 0.0000
Tl 0.0000 0.5000 0.0000

Computed properties:
Total magnetization: 0.00 μB per formula unit
Final energy: -55.405 eV per atom
Mass density: 7.59 g cm⁻³

***

[2]
First-principles (meta-GGA SCAN) data for Tl2SbSe at its PBEsol-relaxed geometry, as listed in the Alexandria database.

a = 3.7633 Å, b = 5.5202 Å, c = 5.5202 Å
α = 110.94°, β = 90.00°, γ = 90.00°
Fractional positions:
Tl 0.0000 0.0000 0.5000
Se 0.5000 0.5000 0.5000
Sb 0.5000 0.0000 0.0000
Tl 0.0000 0.5000 0.0000

Computed properties:
Total magnetization: 0.00 μB per formula unit
Final energy: -50.511 eV per atom
Mass density: 9.45 g cm⁻³

***

[3]
First-principles (meta-GGA SCAN) data for In2Ga2Hg at its PBEsol-relaxed geometry, as listed in the Alexandria database.

a = 3.3805 Å, b = 8.2240 Å, c = 8.2240 Å
α = 90.00°, β = 90.00°, γ = 90.00°
Fractional positions:
Ga 0.5000 0.8819 0.3819
Hg 0.0000 0.0000 0.0000
Ga 0.5000 0.3819 0.1181
In 0.0000 0.3204 0.8204
Ga 0.5000 0.1181 0.6181
In 0.0000 0.1796 0.3204
In 0.0000 0.6796 0.1796
Hg 0.0000 0.5000 0.5000
In 0.0000 0.8204 0.6796
Ga 0.5000 0.6181 0.8819

Computed properties:
Total magnetization: 0.00 μB per formula unit
ΔE_f: 107 meV per atom
Mass density: 8.27 g cm⁻³

***

[4]
First-principles (meta-GGA SCAN) data for HfScF3 at its PBEsol-relaxed geometry, as listed in the Alexandria database.

a = 4.2838 Å, b = 4.2838 Å, c = 4.2838 Å
α = 90.00°, β = 90.00°, γ = 90.00°
Each line ends with the local moment (μB).
Fractional positions:
F 0.0000 0.0000 0.5000  0.07
Hf 0.0000 0.0000 0.0000  0.96
Sc 0.5000 0.5000 0.5000  1.29
F 0.5000 0.0000 0.0000  0.07
F 0.0000 0.5000 0.0000  0.07

Computed properties:
Total magnetization: 3.43 μB per formula unit
Final energy: -19.430 eV per atom
Mass density: 5.92 g cm⁻³

***

[5]
First-principles (meta-GGA SCAN) data for CsK2Rb at its PBEsol-relaxed geometry, as listed in the Alexandria database.

a = 7.7469 Å, b = 7.7469 Å, c = 7.7469 Å
α = 60.00°, β = 60.00°, γ = 60.00°
Fractional positions:
Cs 0.5000 0.5000 0.5000
Rb 0.0000 0.0000 0.0000
K 0.2500 0.2500 0.2500
K 0.7500 0.7500 0.7500

Computed properties:
Total magnetization: 0.05 μB per formula unit
ΔE_f: 7 meV per atom
Mass density: 1.50 g cm⁻³

***

[6]
First-principles (meta-GGA SCAN) data for FeCo2Si at its PBEsol-relaxed geometry, as listed in the Alexandria database.

a = 2.8715 Å, b = 3.8516 Å, c = 3.8516 Å
α = 90.00°, β = 90.00°, γ = 90.00°
Each line ends with the local moment (μB).
Fractional positions:
Fe 0.5000 0.5000 0.5000  3.01
Co 0.0000 0.5000 0.0000  1.43
Si 0.5000 0.0000 0.0000  -0.02
Co 0.0000 0.0000 0.5000  1.43

Computed properties:
Total magnetization: 5.75 μB per formula unit
Final energy: -16.098 eV per atom
Mass density: 7.87 g cm⁻³